# 1
Pm3Y8Sc3: optimized geometry, GGA-PBE.

Cell: 10.250 10.250 10.250 Å, 149.19 124.11 65.19°
Element x y z (fractional)
Pm  0.000  0.000  0.000
Pm  0.259  0.500  0.759
Pm  0.741  0.500  0.241
Y  0.115  0.876  0.239
Y  0.144  0.300  0.844
Y  0.363  0.124  0.239
Y  0.456  0.300  0.156
Y  0.544  0.700  0.844
Y  0.637  0.876  0.761
Y  0.856  0.700  0.156
Y  0.885  0.124  0.761
Sc  0.170  0.670  0.500
Sc  0.500  0.000  0.500
Sc  0.830  0.330  0.500

Computed properties:
Total energy, eV for the cell shown: -79.40
ΔH_f (0 K), eV/atom: 0.397



# 2
KReAu: optimized geometry, GGA-PBE.

Cell: 4.929 4.929 4.929 Å, 60.00 60.00 60.00°
Element x y z (fractional)
K  0.000  0.000  0.000
Re  0.500  0.500  0.500
Au  0.250  0.250  0.250

Computed properties:
E above lowest polymorph, eV per atom: 0.860
Total energy, eV for the cell shown: -11.80
ΔH_f (0 K), eV/atom: 1.673



# 3
CaNdInAu: optimized geometry, GGA-PBE.

Cell: 3.699 3.699 7.898 Å, 90.00 90.00 90.00°
Element x y z (fractional)
Ca  0.000  0.000  0.000
Nd  0.000  0.000  0.462
In  0.500  0.500  0.732
Au  0.500  0.500  0.233

Computed properties:
E above lowest polymorph, eV per atom: 0.000
Total energy, eV for the cell shown: -15.27
ΔH_f (0 K), eV/atom: -0.622



# 4
Pm7Nd3Sm2: optimized geometry, GGA-PBE.

Cell: 6.501 3.598 17.925 Å, 90.00 96.23 90.00°
Element x y z (fractional)
Pm  0.000  0.000  0.000
Pm  0.225  0.500  0.168
Pm  0.256  0.500  0.499
Pm  0.272  0.000  0.833
Pm  0.728  0.000  0.167
Pm  0.744  0.500  0.501
Pm  0.775  0.500  0.832
Nd  0.452  0.000  0.339
Nd  0.500  0.500  0.000
Nd  0.548  0.000  0.661
Sm  0.056  0.500  0.671
Sm  0.944  0.500  0.329

Computed properties:
E above lowest polymorph, eV per atom: 0.000
Total energy, eV for the cell shown: -56.14
ΔH_f (0 K), eV/atom: 0.072



> What is the total energy in the first record?

-79.40 eV for the cell shown